## PWSe2 (meta-GGA SCAN)

Data for a crystal of PWSe2 relaxed with PBEsol.

Results
Symmetry   Immm, No. 71
Crystal system   orthorhombic
Raw formation energy   1.23 eV per formula unit
E_tot   -119.02 eV/cell

Unit cell a=3.111 b=3.923 c=6.653 alpha=107.15 beta=103.52 gamma=90.00
Element x y z (fractional)
P 0.000 0.500 0.000
Se 0.830 0.830 0.659
Se 0.170 0.170 0.341
W 0.500 0.000 0.000



## InAgS2 (meta-GGA SCAN)

Data for a crystal of InAgS2 relaxed with PBEsol.

Results
Symmetry   Pna2_1, No. 33
Crystal system   orthorhombic
Raw formation energy   -2.08 eV per formula unit
E_tot   -344.36 eV/cell

Unit cell a=6.662 b=6.981 c=8.156 alpha=90.00 beta=90.00 gamma=90.00
Element x y z (fractional)
In 0.615 0.078 0.126
In 0.115 0.922 0.874
In 0.115 0.422 0.626
In 0.615 0.578 0.374
Ag 0.119 0.910 0.375
Ag 0.619 0.590 0.875
Ag 0.619 0.090 0.625
Ag 0.119 0.410 0.125
S 0.987 0.575 0.375
S 0.487 0.425 0.625
S 0.487 0.925 0.875
S 0.987 0.075 0.125
S 0.994 0.587 0.876
S 0.994 0.087 0.624
S 0.494 0.913 0.376
S 0.494 0.413 0.124



## ZrNiIO2 (meta-GGA SCAN)

Data for a crystal of ZrNiIO2 relaxed with PBEsol.

Results
Symmetry   P4/mmm, No. 123
Crystal system   tetragonal
Raw formation energy   -1.36 eV per formula unit
E_tot   -97.43 eV/cell

Unit cell a=3.974 b=3.974 c=4.676 alpha=90.00 beta=90.00 gamma=90.00
Element x y z (fractional)
I 0.000 0.000 0.500
Ni 0.000 0.000 0.000
O 0.000 0.500 0.000
O 0.500 0.000 0.000
Zr 0.500 0.500 0.500



## IrOsCl2 (meta-GGA SCAN)

Data for a crystal of IrOsCl2 relaxed with PBEsol.

Results
Symmetry   Pmm2, No. 25
Crystal system   orthorhombic
Raw formation energy   0.25 eV per formula unit
E_tot   -158.69 eV/cell

Unit cell a=2.851 b=3.379 c=7.539 alpha=90.00 beta=90.00 gamma=90.00
Element x y z (fractional)
Ir 0.000 0.000 0.463
Os 0.500 0.500 0.284
Cl 0.500 0.000 0.067
Cl 0.000 0.500 0.687